1.
Compound: Cu2SbTe
Source: the Alexandria database
Functional: PBE-GGA
Structure: optimized geometry

Results
The space-group type is Cmmm. The calculation puts the total energy at -3.54 eV per atom. The value obtained for the formation energy (no corrections) is 0.3208 eV/atom.

Cell: 3.8753 5.4470 7.7754 Å, 90.00 90.00 90.00°
Fractional positions:
Cu 0.0000 0.0000 0.2454
Cu 0.0000 0.0000 0.7546
Cu 0.5000 0.5000 0.2454
Cu 0.5000 0.5000 0.7546
Sb 0.0000 0.5000 0.0000
Sb 0.5000 0.0000 0.0000
Te 0.0000 0.5000 0.5000
Te 0.5000 0.0000 0.5000



2.
Compound: Cu2SbTe
Source: the Alexandria database
Functional: PBE-GGA
Structure: optimized geometry

Results
The space-group type is P4mm. The calculation puts the total energy at -3.77 eV per atom. The value obtained for the formation energy (no corrections) is 0.0905 eV/atom.

Cell: 3.3468 3.3468 7.8508 Å, 90.00 90.00 90.00°
Fractional positions:
Cu 0.0000 0.0000 0.0000
Cu 0.5000 0.5000 0.1451
Sb 0.0000 0.0000 0.3412
Te 0.5000 0.5000 0.8019



3.
Compound: CuSbTe2
Source: the Alexandria database
Functional: PBE-GGA
Structure: optimized geometry

Results
The space-group type is Cmm2. The calculation puts the total energy at -3.43 eV per atom. The value obtained for the formation energy (no corrections) is 0.1956 eV/atom.

Cell: 4.1151 5.1982 9.6225 Å, 90.00 90.00 90.00°
Fractional positions:
Cu 0.0000 0.0000 0.0000
Cu 0.5000 0.5000 0.0000
Sb 0.0000 0.5000 0.8209
Sb 0.5000 0.0000 0.8209
Te 0.0000 0.0000 0.5261
Te 0.0000 0.5000 0.1761
Te 0.5000 0.0000 0.1761
Te 0.5000 0.5000 0.5261



4.
Compound: CuSbTe2
Source: the Alexandria database
Functional: PBE-GGA
Structure: optimized geometry

Results
The space-group type is Pnma. The calculation puts the total energy at -3.70 eV per atom. The value obtained for the formation energy (no corrections) is -0.0717 eV/atom.

Cell: 6.9315 4.3346 15.8703 Å, 90.00 90.00 90.00°
Fractional positions:
Cu 0.2446 0.2500 0.1709
Cu 0.2554 0.7500 0.6709
Cu 0.7446 0.2500 0.3291
Cu 0.7554 0.7500 0.8291
Sb 0.2287 0.7500 0.4440
Sb 0.2713 0.2500 0.9440
Sb 0.7287 0.7500 0.0560
Sb 0.7713 0.2500 0.5560
Te 0.1165 0.2500 0.3252
Te 0.1303 0.7500 0.0967
Te 0.3697 0.2500 0.5967
Te 0.3835 0.7500 0.8252
Te 0.6165 0.2500 0.1748
Te 0.6303 0.7500 0.4033
Te 0.8697 0.2500 0.9033
Te 0.8835 0.7500 0.6748



5.
Compound: Cu2SbTe
Source: the Alexandria database
Functional: PBE-GGA
Structure: optimized geometry

Results
The space-group type is F-43m. The calculation puts the total energy at -3.31 eV per atom. The value obtained for the formation energy (no corrections) is 0.5557 eV/atom.

Cell: 6.9334 6.9334 6.9334 Å, 90.00 90.00 90.00°
Fractional positions:
Cu 0.0000 0.0000 0.0000
Cu 0.0000 0.5000 0.5000
Cu 0.2500 0.2500 0.2500
Cu 0.2500 0.7500 0.7500
Cu 0.5000 0.0000 0.5000
Cu 0.5000 0.5000 0.0000
Cu 0.7500 0.2500 0.7500
Cu 0.7500 0.7500 0.2500
Sb 0.0000 0.0000 0.5000
Sb 0.0000 0.5000 0.0000
Sb 0.5000 0.0000 0.0000
Sb 0.5000 0.5000 0.5000
Te 0.2500 0.2500 0.7500
Te 0.2500 0.7500 0.2500
Te 0.7500 0.2500 0.2500
Te 0.7500 0.7500 0.7500



6.
Compound: CuSbTe2
Source: the Alexandria database
Functional: PBE-GGA
Structure: optimized geometry

Results
The space-group type is I-42d. The calculation puts the total energy at -3.58 eV per atom. The value obtained for the formation energy (no corrections) is 0.0481 eV/atom.

Cell: 6.5331 6.5331 12.6491 Å, 90.00 90.00 90.00°
Fractional positions:
Cu 0.0000 0.0000 0.0000
Cu 0.0000 0.5000 0.2500
Cu 0.5000 0.0000 0.7500
Cu 0.5000 0.5000 0.5000
Sb 0.0000 0.0000 0.5000
Sb 0.0000 0.5000 0.7500
Sb 0.5000 0.0000 0.2500
Sb 0.5000 0.5000 0.0000
Te 0.1936 0.2500 0.1250
Te 0.2500 0.6936 0.3750
Te 0.2500 0.8064 0.8750
Te 0.3064 0.2500 0.6250
Te 0.6936 0.7500 0.6250
Te 0.7500 0.1936 0.8750
Te 0.7500 0.3064 0.3750
Te 0.8064 0.7500 0.1250



7.
Compound: CuSbTe2
Source: the Alexandria database
Functional: PBE-GGA
Structure: optimized geometry

Results
The space-group type is Imm2. The calculation puts the total energy at -3.47 eV per atom. The value obtained for the formation energy (no corrections) is 0.1506 eV/atom.

Cell: 3.6358 4.8479 11.6910 Å, 90.00 90.00 90.00°
Fractional positions:
Cu 0.0000 0.0000 0.0000
Cu 0.5000 0.5000 0.5000
Sb 0.0000 0.5000 0.6787
Sb 0.5000 0.0000 0.1787
Te 0.0000 0.0000 0.5193
Te 0.0000 0.5000 0.3287
Te 0.5000 0.0000 0.8287
Te 0.5000 0.5000 0.0193



8.
Compound: CuSbTe2
Source: the Alexandria database
Functional: PBE-GGA
Structure: optimized geometry

Results
The space-group type is Immm. The calculation puts the total energy at -3.55 eV per atom. The value obtained for the formation energy (no corrections) is 0.0795 eV/atom.

Cell: 3.7466 4.8520 12.0880 Å, 90.00 90.00 90.00°
Fractional positions:
Cu 0.0000 0.0000 0.0000
Cu 0.5000 0.5000 0.5000
Sb 0.0000 0.0000 0.5000
Sb 0.5000 0.5000 0.0000
Te 0.0000 0.5000 0.3404
Te 0.0000 0.5000 0.6596
Te 0.5000 0.0000 0.1596
Te 0.5000 0.0000 0.8404